Compound: TlAs2IBr
Source: Alexandria
Functional: PBE
Structure: optimized geometry

a b c (Å): 5.548 5.548 5.522
angles (deg): 90.00 90.00 90.00
Atoms (fractional coordinates):
Tl (0.000, 0.000, 0.000)
As (0.000, 0.500, 0.000)
As (0.500, 0.000, 0.000)
I (0.500, 0.500, 0.500)
Br (0.000, 0.000, 0.500)

Computed properties:
Electronic total energy: -11.39 eV for the cell shown
Volume: 170.0 Å³ per cell
ΔE_f (raw): 0.6997 eV/atom
Polymorph energy (0 for the lowest one): 60.9 meV per atom

Compound: VAsIBr2
Source: Alexandria
Functional: PBE
Structure: optimized geometry

a b c (Å): 4.839 4.839 5.371
angles (deg): 90.00 90.00 90.00
Atoms (fractional coordinates):
V (0.000, 0.000, 0.000)
As (0.000, 0.000, 0.500)
I (0.500, 0.500, 0.500)
Br (0.000, 0.500, 0.000)
Br (0.500, 0.000, 0.000)

Computed properties:
Electronic total energy: -18.59 eV for the cell shown
Volume: 125.8 Å³ per cell
ΔE_f (raw): 0.0153 eV/atom
Polymorph energy (0 for the lowest one): 0.0 meV per atom

Compound: VAs2IBr
Source: Alexandria
Functional: PBE
Structure: optimized geometry

a b c (Å): 4.900 4.900 4.864
angles (deg): 90.00 90.00 90.00
Atoms (fractional coordinates):
V (0.000, 0.000, 0.000)
As (0.000, 0.500, 0.000)
As (0.500, 0.000, 0.000)
I (0.500, 0.500, 0.500)
Br (0.000, 0.000, 0.500)

Computed properties:
Electronic total energy: -20.84 eV for the cell shown
Volume: 116.8 Å³ per cell
ΔE_f (raw): 0.1597 eV/atom
Polymorph energy (0 for the lowest one): 0.0 meV per atom

Q: What is the ΔE_f (raw) in the second record?
A: 0.0153 eV/atom

Copy entry 3 word for word.
Compound: VAs2IBr
Source: Alexandria
Functional: PBE
Structure: optimized geometry

a b c (Å): 4.900 4.900 4.864
angles (deg): 90.00 90.00 90.00
Atoms (fractional coordinates):
V (0.000, 0.000, 0.000)
As (0.000, 0.500, 0.000)
As (0.500, 0.000, 0.000)
I (0.500, 0.500, 0.500)
Br (0.000, 0.000, 0.500)

Computed properties:
Electronic total energy: -20.84 eV for the cell shown
Volume: 116.8 Å³ per cell
ΔE_f (raw): 0.1597 eV/atom
Polymorph energy (0 for the lowest one): 0.0 meV per atom

Q: Look up the ΔE_f (raw) of the second one.
A: 0.0153 eV/atom